CdCo2PbF8: optimized geometry, PBE with a Hubbard U.

Structure (POSCAR):
```
CdCo2PbF8
1.0
5.141 0.000 0.000
0.042 5.146 0.000
0.007 0.007 6.847
Cd Co Pb F
1 2 1 8
Cartesian
0.000 0.000 0.000
2.593 2.575 1.662
2.597 2.578 5.185
0.004 0.003 3.423
1.176 4.010 1.595
1.182 4.016 5.252
1.642 1.637 0.001
1.717 1.714 3.425
3.473 3.439 3.422
3.549 3.516 6.845
4.008 1.137 1.595
4.014 1.143 5.252
```

Output
* density: 5.404 g/cm³
* E: -4.652 eV per atom
* density of states at the Fermi level: 0.00 states/eV/atom